The following is a DFT calculation (PBE-GGA) of a relaxed CsRb2RuO4 crystal.

a = 6.4920 Å, b = 6.4920 Å, c = 6.4920 Å
α = 119.90°, β = 119.90°, γ = 90.17°
Element x y z (fractional)
Cs 0.0000 0.0000 0.0000
Rb 0.2500 0.7500 0.5000
Rb 0.5000 0.5000 0.0000
Ru 0.7500 0.2500 0.5000
O 0.0249 0.1560 0.5205
O 0.4956 0.9751 0.1311
O 0.6354 0.5044 0.4795
O 0.8440 0.3646 0.8689

Values from the calculation:
- uncorrected energy (eV/atom) = -5.2122
- theoretical density (g/cm3) = 4.02
- symmetry = I-4 (82)
- E_form (uncorrected) (eV per atom) = -1.225

=====

The following is a DFT calculation (PBE-GGA) of a relaxed Sc2TiZn8 crystal.

a = 7.8423 Å, b = 7.8423 Å, c = 4.6581 Å
α = 107.25°, β = 107.25°, γ = 124.75°
Element x y z (fractional)
Sc 0.1888 0.8112 0.0000
Sc 0.8112 0.1888 0.0000
Ti 0.5000 0.5000 0.5000
Zn 0.0017 0.0017 0.2474
Zn 0.1504 0.3972 0.7739
Zn 0.3042 0.6958 0.5000
Zn 0.3972 0.1504 0.7739
Zn 0.6028 0.8496 0.2261
Zn 0.6958 0.3042 0.5000
Zn 0.8496 0.6028 0.2261
Zn 0.9983 0.9983 0.7526

Values from the calculation:
- uncorrected energy (eV/atom) = -2.9790
- theoretical density (g/cm3) = 6.07
- symmetry = C2/m (12)
- D(E_F) (states/eV/f.u.) = 6.20
- ΔE_f (eV per atom) = -0.1836